Compound: Ag2SnPbCl6
Source: Alexandria via LeMat-Bulk
Functional: PBE
Structure: relaxed Values from VASP.

Summary:
For the total moment, the calculation gives 0.0 Bohr magnetons per cell. Its total energy is -3.265 eV/atom. The raw formation energy is -0.82 eV/atom. The space group is P1, No. 1. As for the density of states at the Fermi level: 0.00 states/eV per cell.

Structure (Quantum ESPRESSO input):
```
&SYSTEM
  ibrav = 0, nat = 10, ntyp = 4
/
ATOMIC_SPECIES
Cl 35.45 Cl.upf
Ag 107.87 Ag.upf
Sn 118.71 Sn.upf
Pb 207.20 Pb.upf
CELL_PARAMETERS angstrom
7.265 -0.008 -0.004
-3.639 6.283 0.003
-3.631 -2.087 6.308
ATOMIC_POSITIONS crystal
Cl 0.525 0.095 0.189
Ag 0.592 0.795 0.373
Cl 0.774 0.591 0.686
Ag 0.581 0.289 0.857
Sn 0.989 0.494 0.468
Cl 0.517 0.925 0.685
Pb 0.995 0.997 0.978
Cl 0.109 0.429 0.191
Cl 0.776 0.679 0.190
Cl 0.109 0.183 0.685
```

Compound: PmHo7Al4
Source: Alexandria via LeMat-Bulk
Functional: PBE
Structure: relaxed Values from VASP.

Summary:
For the total moment, the calculation gives 0.2 Bohr magnetons per cell. Its formation energy is -0.05 eV/atom. Its total energy is -4.368 eV/atom. The space group is C2/m, No. 12. As for the density of states at the Fermi level: 12.65 states/eV per cell.

Structure (Quantum ESPRESSO input):
```
&SYSTEM
  ibrav = 0, nat = 12, ntyp = 3
/
ATOMIC_SPECIES
Ho 164.93 Ho.upf
Pm 145.00 Pm.upf
Al 26.98 Al.upf
CELL_PARAMETERS angstrom
5.483 0.000 0.000
2.741 8.619 0.326
2.741 0.563 6.899
ATOMIC_POSITIONS crystal
Ho 0.298 0.644 0.760
Pm 0.000 0.000 0.000
Ho 0.213 0.123 0.452
Al 0.677 0.668 0.978
Ho 0.066 0.609 0.259
Ho 0.702 0.356 0.240
Al 0.445 0.763 0.346
Ho 0.500 0.000 0.000
Ho 0.934 0.391 0.741
Al 0.555 0.237 0.654
Ho 0.787 0.877 0.548
Al 0.323 0.332 0.022
```

Compound: Tl12Sb6Au
Source: Alexandria via LeMat-Bulk
Functional: PBE
Structure: relaxed Values from VASP.

Summary:
For the total moment, the calculation gives 0.0 Bohr magnetons per cell. Its total energy is -2.930 eV/atom. The raw formation energy is 0.04 eV/atom. The space group is R-3, No. 148. As for the density of states at the Fermi level: 9.38 states/eV per cell.

Structure (Quantum ESPRESSO input):
```
&SYSTEM
  ibrav = 0, nat = 19, ntyp = 3
/
ATOMIC_SPECIES
Sb 121.76 Sb.upf
Tl 204.38 Tl.upf
Au 196.97 Au.upf
CELL_PARAMETERS angstrom
-6.395 0.452 -5.596
-2.673 -6.805 4.355
-2.671 6.020 5.389
ATOMIC_POSITIONS crystal
Sb 0.264 0.498 0.735
Tl 0.108 0.093 0.672
Tl 0.672 0.108 0.093
Sb 0.735 0.264 0.498
Au 0.000 0.000 0.000
Sb 0.502 0.265 0.736
Tl 0.093 0.672 0.108
Tl 0.348 0.079 0.345
Sb 0.498 0.735 0.264
Tl 0.328 0.892 0.907
Tl 0.921 0.655 0.652
Tl 0.655 0.652 0.921
Tl 0.345 0.348 0.079
Tl 0.652 0.921 0.655
Tl 0.892 0.907 0.328
Sb 0.265 0.736 0.502
Sb 0.736 0.502 0.265
Tl 0.907 0.328 0.892
Tl 0.079 0.345 0.348
```